Material: Rb3SrCu2F9
Method: DFT, GGA-PBE
State: relaxed

The value obtained for the calculated total energy is -4.4770 eV/atom.

It has space group P-3m1 (No. 164), with a = 6.0993 Å, b = 6.0993 Å, c = 7.6204 Å, α = 90.00°, β = 90.00° and γ = 120.00°. The asymmetric unit holds Rb at (0.0000, 0.0000, 0.0000), Rb at (0.3333, 0.6667, 0.6879), Sr at (0.0000, 0.0000, 0.5000), Cu at (0.3333, 0.6667, 0.1512), F at (0.0000, 0.5000, 0.0000) and F at (0.1777, 0.3555, 0.3091).

---

Material: Sm8YSc5
Method: DFT, GGA-PBE
State: relaxed

The formation energy from the elements comes out at 261.6 meV/atom.

It has space group I-4 (No. 82), with a = 9.357 Å, b = 9.357 Å, c = 9.999 Å, α = 90.00°, β = 90.00° and γ = 90.00°. The asymmetric unit holds Sm at (0.069, 0.327, 0.407), Sm at (0.094, 0.172, 0.749), Y at (0.000, 0.500, 0.750), Sc at (0.000, 0.000, 0.500) and Sc at (0.108, 0.199, 0.071).

---

Material: Hf2TlSb2
Method: DFT, GGA-PBE
State: relaxed

For the distance to the lowest polymorph of the same formula, the calculation gives 0.172 eV/atom.

It has space group P4/mbm (No. 127), with a = 8.316 Å, b = 8.316 Å, c = 3.632 Å, α = 90.00°, β = 90.00° and γ = 90.00°. The asymmetric unit holds Hf at (0.134, 0.366, 0.000), Tl at (0.000, 0.000, 0.500) and Sb at (0.151, 0.651, 0.500).

---

Material: RbNi2Sb2
Method: DFT, GGA-PBE
State: relaxed

The value obtained for the calculated total energy is -4.3798 eV/atom.

It has space group I4/mmm (No. 139), with a = 4.411 Å, b = 4.411 Å, c = 13.365 Å, α = 90.00°, β = 90.00° and γ = 90.00°. The asymmetric unit holds Rb at (0.000, 0.000, 0.000), Ni at (0.000, 0.500, 0.250) and Sb at (0.000, 0.000, 0.340).

---

| no. | volume (A^3/atom) | M_tot (μB per atom) |
| --- | --- | --- |
| 1 | 16.4 | 0.134 |
| 2 | 31.3 | 0.000 |
| 3 | 25.1 | 0.000 |
| 4 | 26.0 | 0.000 |